{"formula": "Zr2TeRuSe", "functional": "PBE", "state": "optimized geometry", "lattice_angstrom": [[-2.226, -4.557, 1.651], [1.776, -2.237, -3.779], [4.415, -1.157, 2.760]], "species": ["Ru", "Te", "Se", "Zr", "Zr"], "fractional_positions": [[0.000, 0.500, 0.000], [0.000, 0.000, 0.000], [0.500, 0.500, 0.500], [0.000, 0.000, 0.500], [0.500, 0.000, 0.000]], "space_group": "P4/mmm", "m_tot_mub_per_fu": 0.22, "e_form_raw_kj_per_mol_atoms": 70}